# Sr3Cd2Sn4

Sr3Cd2Sn4 after structural relaxation (GGA-PBE, Alexandria via LeMat-Bulk).

Summary:
Calculated density: 5.74 g cm⁻³
Magnetic moment: 0.0 μB/cell
E: -3.06 eV per atom
Energy of formation: -0.516 eV per atom

a b c (Å): 6.7551 6.7551 9.4354
angles (deg): 103.59 103.59 41.94
Element x y z (fractional)
Sr 0.0000 0.0000 0.0000
Sr 0.3804 0.3804 0.3015
Sr 0.6196 0.6196 0.6985
Cd 0.2997 0.2997 0.6261
Cd 0.7003 0.7003 0.3739
Sn 0.0728 0.0728 0.3931
Sn 0.2954 0.2954 0.9363
Sn 0.7046 0.7046 0.0637
Sn 0.9272 0.9272 0.6069


# NdZr2P

NdZr2P after structural relaxation (GGA-PBE, Alexandria via LeMat-Bulk).

Summary:
Calculated density: 6.02 g cm⁻³
Magnetic moment: 0.0 μB/cell
E: -7.40 eV per atom
Energy of formation: -0.582 eV per atom

a b c (Å): 3.6295 3.6295 25.9321
angles (deg): 90.00 90.00 120.00
Element x y z (fractional)
Nd 0.0000 0.0000 0.0000
Nd 0.3333 0.6667 0.6667
Nd 0.6667 0.3333 0.3333
Zr 0.0000 0.0000 0.5554
Zr 0.0000 0.0000 0.7747
Zr 0.3333 0.6667 0.2221
Zr 0.3333 0.6667 0.4413
Zr 0.6667 0.3333 0.1080
Zr 0.6667 0.3333 0.8888
P 0.0000 0.0000 0.1657
P 0.3333 0.6667 0.8324
P 0.6667 0.3333 0.4990


# AlPF

AlPF after structural relaxation (GGA-PBE, Alexandria via LeMat-Bulk).

Summary:
Calculated density: 2.47 g cm⁻³
Energy relative to the lowest polymorph listed for this composition: 65 meV/atom
Magnetic moment: 0.0 μB/cell
E: -5.26 eV per atom
E_form (uncorrected): -1.584 eV per atom

a b c (Å): 9.7411 3.8784 5.4806
angles (deg): 90.00 90.65 90.00
Element x y z (fractional)
Al 0.2112 0.0000 0.2474
Al 0.2888 0.5000 0.7526
Al 0.7112 0.5000 0.2474
Al 0.7888 0.0000 0.7526
P 0.1082 0.4843 0.0524
P 0.3918 0.9843 0.9476
P 0.6082 0.9843 0.0524
P 0.8918 0.4843 0.9476
F 0.1765 0.8340 0.5491
F 0.3235 0.3340 0.4509
F 0.6765 0.3340 0.5491
F 0.8235 0.8340 0.4509


# PuCrCo2H8

PuCrCo2H8 after structural relaxation (GGA-PBE, Alexandria via LeMat-Bulk).

Summary:
Calculated density: 7.59 g cm⁻³
Magnetic moment: 10.0 μB/cell
E: -5.49 eV per atom

a b c (Å): 5.8978 5.8978 5.8978
angles (deg): 44.69 44.69 44.69
Element x y z (fractional)
Pu 0.0000 0.0000 0.0000
Cr 0.5000 0.5000 0.5000
Co 0.2003 0.2003 0.2003
Co 0.7997 0.7997 0.7997
H 0.1152 0.8391 0.4018
H 0.1609 0.5982 0.8848
H 0.3026 0.3026 0.3026
H 0.4018 0.1152 0.8391
H 0.5982 0.8848 0.1609
H 0.6974 0.6974 0.6974
H 0.8391 0.4018 0.1152
H 0.8848 0.1609 0.5982


# KSrYHg2

KSrYHg2 after structural relaxation (GGA-PBE, Alexandria via LeMat-Bulk).

Summary:
Calculated density: 4.50 g cm⁻³
Magnetic moment: 0.0 μB/cell
E: -1.75 eV per atom
Energy of formation: 0.222 eV per atom

a b c (Å): 5.8929 5.8929 6.5584
angles (deg): 90.00 90.00 90.00
Element x y z (fractional)
K 0.0000 0.0000 0.0000
Sr 0.5000 0.5000 0.0000
Y 0.5000 0.5000 0.5000
Hg 0.0000 0.5000 0.5000
Hg 0.5000 0.0000 0.5000


# Sr3YBi

Sr3YBi after structural relaxation (GGA-PBE, Alexandria via LeMat-Bulk).

Summary:
Calculated density: 3.60 g cm⁻³
Energy relative to the lowest polymorph listed for this composition: 0 meV/atom
Magnetic moment: 0.0 μB/cell
E: -3.02 eV per atom
Energy of formation: 0.055 eV per atom

a b c (Å): 6.3717 6.3717 6.3717
angles (deg): 90.00 90.00 90.00
Element x y z (fractional)
Sr 0.0000 0.0000 0.5000
Sr 0.0000 0.5000 0.0000
Sr 0.5000 0.0000 0.0000
Y 0.5000 0.5000 0.5000
Bi 0.0000 0.0000 0.0000


# Si2Ir2F

Si2Ir2F after structural relaxation (GGA-PBE, Alexandria via LeMat-Bulk).

Summary:
Calculated density: 9.72 g cm⁻³
Energy relative to the lowest polymorph listed for this composition: 70 meV/atom
Magnetic moment: 0.0 μB/cell
E: -6.67 eV per atom
E_form (uncorrected): -0.578 eV per atom

a b c (Å): 3.9864 3.9864 9.8777
angles (deg): 90.00 90.00 90.00
Element x y z (fractional)
Si 0.0000 0.0000 0.1196
Si 0.0000 0.0000 0.8804
Si 0.5000 0.5000 0.3804
Si 0.5000 0.5000 0.6196
Ir 0.0000 0.5000 0.2500
Ir 0.0000 0.5000 0.7500
Ir 0.5000 0.0000 0.2500
Ir 0.5000 0.0000 0.7500
F 0.0000 0.0000 0.5000
F 0.5000 0.5000 0.0000


# CoPd2Au

CoPd2Au after structural relaxation (GGA-PBE, Alexandria via LeMat-Bulk).

Summary:
Calculated density: 11.80 g cm⁻³
Magnetic moment: 10.8 μB/cell
E: -4.83 eV per atom
Energy of formation: 0.360 eV per atom

a b c (Å): 7.0455 7.0455 5.3165
angles (deg): 90.00 90.00 90.00
Element x y z (fractional)
Co 0.0000 0.0000 0.0000
Co 0.0000 0.5000 0.2500
Co 0.5000 0.0000 0.7500
Co 0.5000 0.5000 0.5000
Pd 0.2160 0.2500 0.1250
Pd 0.2500 0.7160 0.3750
Pd 0.2500 0.7840 0.8750
Pd 0.2840 0.2500 0.6250
Pd 0.7160 0.7500 0.6250
Pd 0.7500 0.2160 0.8750
Pd 0.7500 0.2840 0.3750
Pd 0.7840 0.7500 0.1250
Au 0.0000 0.0000 0.5000
Au 0.0000 0.5000 0.7500
Au 0.5000 0.0000 0.2500
Au 0.5000 0.5000 0.0000


# Sm6CdOs

Sm6CdOs after structural relaxation (GGA-PBE, Alexandria via LeMat-Bulk).

Summary:
Calculated density: 8.58 g cm⁻³
Energy relative to the lowest polymorph listed for this composition: 0 meV/atom
Magnetic moment: 0.0 μB/cell
E: -5.09 eV per atom
Energy of formation: -0.029 eV per atom

a b c (Å): 5.1250 5.1250 17.7448
angles (deg): 90.00 90.00 90.00
Element x y z (fractional)
Sm 0.0000 0.0000 0.2484
Sm 0.0000 0.0000 0.7516
Sm 0.0000 0.5000 0.0995
Sm 0.0000 0.5000 0.4005
Sm 0.0000 0.5000 0.5995
Sm 0.0000 0.5000 0.9005
Sm 0.5000 0.0000 0.0995
Sm 0.5000 0.0000 0.4005
Sm 0.5000 0.0000 0.5995
Sm 0.5000 0.0000 0.9005
Sm 0.5000 0.5000 0.2516
Sm 0.5000 0.5000 0.7484
Cd 0.0000 0.0000 0.0000
Cd 0.5000 0.5000 0.5000
Os 0.0000 0.0000 0.5000
Os 0.5000 0.5000 0.0000


# Ba3Hg8Bi

Ba3Hg8Bi after structural relaxation (GGA-PBE, Alexandria via LeMat-Bulk).

Summary:
Calculated density: 9.96 g cm⁻³
Magnetic moment: 0.0 μB/cell
E: -1.37 eV per atom
Energy of formation: -0.365 eV per atom

a b c (Å): 6.3779 6.3779 10.5300
angles (deg): 90.00 90.00 120.00
Element x y z (fractional)
Ba 0.0000 0.0000 0.0000
Ba 0.0000 0.0000 0.3865
Ba 0.3333 0.6667 0.8375
Hg 0.0108 0.5054 0.1813
Hg 0.3291 0.1646 0.6848
Hg 0.4946 0.5054 0.1813
Hg 0.4946 0.9892 0.1813
Hg 0.6667 0.3333 0.4318
Hg 0.6667 0.3333 0.9326
Hg 0.8354 0.1646 0.6848
Hg 0.8354 0.6709 0.6848
Bi 0.3333 0.6667 0.4918


# CrIn2Mo

CrIn2Mo after structural relaxation (GGA-PBE, Alexandria via LeMat-Bulk).

Summary:
Calculated density: 8.58 g cm⁻³
Energy relative to the lowest polymorph listed for this composition: 201 meV/atom
Magnetic moment: 2.4 μB/cell
E: -6.05 eV per atom
Energy of formation: 0.434 eV per atom

a b c (Å): 4.1754 4.1754 4.1934
angles (deg): 90.00 90.00 90.00
Element x y z (fractional)
Cr 0.0000 0.0000 0.0000
In 0.0000 0.5000 0.5000
In 0.5000 0.0000 0.5000
Mo 0.5000 0.5000 0.0000


# LaAl3F

LaAl3F after structural relaxation (GGA-PBE, Alexandria via LeMat-Bulk).

Summary:
Calculated density: 3.92 g cm⁻³
Energy relative to the lowest polymorph listed for this composition: 0 meV/atom
Magnetic moment: 0.0 μB/cell
E: -4.25 eV per atom
E_form (uncorrected): -0.644 eV per atom

a b c (Å): 4.6612 4.6612 4.6612
angles (deg): 90.00 90.00 90.00
Element x y z (fractional)
La 0.0000 0.0000 0.0000
Al 0.0000 0.5000 0.5000
Al 0.5000 0.0000 0.5000
Al 0.5000 0.5000 0.0000
F 0.5000 0.5000 0.5000


# ZnNiB2

ZnNiB2 after structural relaxation (GGA-PBE, Alexandria via LeMat-Bulk).

Summary:
Calculated density: 5.64 g cm⁻³
Magnetic moment: 0.0 μB/cell
E: -4.88 eV per atom
Energy of formation: 0.222 eV per atom

a b c (Å): 3.4446 3.4446 14.4582
angles (deg): 90.00 90.00 90.00
Element x y z (fractional)
Zn 0.0000 0.2500 0.3750
Zn 0.0000 0.7500 0.6250
Zn 0.5000 0.2500 0.1250
Zn 0.5000 0.7500 0.8750
Ni 0.0000 0.2500 0.8750
Ni 0.0000 0.7500 0.1250
Ni 0.5000 0.2500 0.6250
Ni 0.5000 0.7500 0.3750
B 0.0000 0.0000 0.0000
B 0.0000 0.5000 0.0000
B 0.2500 0.2500 0.7500
B 0.2500 0.7500 0.2500
B 0.5000 0.0000 0.5000
B 0.5000 0.5000 0.5000
B 0.7500 0.2500 0.7500
B 0.7500 0.7500 0.2500


# Ca2CdHgO4

Ca2CdHgO4 after structural relaxation (GGA-PBE, Alexandria via LeMat-Bulk).

Summary:
Calculated density: 6.67 g cm⁻³
Magnetic moment: 0.0 μB/cell
E: -4.92 eV per atom
E_form (uncorrected): -1.791 eV per atom

a b c (Å): 5.8191 3.4654 6.0138
angles (deg): 90.00 110.30 90.00
Element x y z (fractional)
Ca 0.0000 0.0000 0.0000
Ca 0.0000 0.5000 0.5000
Cd 0.5000 0.0000 0.5000
Hg 0.5000 0.5000 0.0000
O 0.2381 0.0000 0.7401
O 0.2409 0.5000 0.2539
O 0.7591 0.5000 0.7461
O 0.7619 0.0000 0.2599


# Na2Cd2Pt

Na2Cd2Pt after structural relaxation (GGA-PBE, Alexandria via LeMat-Bulk).

Summary:
Calculated density: 6.27 g cm⁻³
Energy relative to the lowest polymorph listed for this composition: 59 meV/atom
Magnetic moment: 0.0 μB/cell
E: -2.22 eV per atom
Energy of formation: -0.121 eV per atom

a b c (Å): 7.0716 7.0716 4.9346
angles (deg): 90.00 90.00 90.00
Element x y z (fractional)
Na 0.1786 0.3214 0.0000
Na 0.3214 0.8214 0.0000
Na 0.6786 0.1786 0.0000
Na 0.8214 0.6786 0.0000
Cd 0.1455 0.6455 0.5000
Cd 0.3545 0.1455 0.5000
Cd 0.6455 0.8545 0.5000
Cd 0.8545 0.3545 0.5000
Pt 0.0000 0.0000 0.5000
Pt 0.5000 0.5000 0.5000


# CsSrCd2

CsSrCd2 after structural relaxation (GGA-PBE, Alexandria via LeMat-Bulk).

Summary:
Calculated density: 4.29 g cm⁻³
Energy relative to the lowest polymorph listed for this composition: 0 meV/atom
Magnetic moment: 0.0 μB/cell
E: -1.21 eV per atom
Energy of formation: -0.117 eV per atom

a b c (Å): 4.4505 4.4505 8.6965
angles (deg): 90.00 90.00 90.00
Element x y z (fractional)
Cs 0.0000 0.0000 0.0000
Sr 0.0000 0.0000 0.5000
Cd 0.5000 0.5000 0.3228
Cd 0.5000 0.5000 0.6772


# SrLiMnCl6

SrLiMnCl6 after structural relaxation (GGA-PBE, Alexandria via LeMat-Bulk).

Summary:
Calculated density: 2.66 g cm⁻³
Magnetic moment: 4.0 μB/cell
E: -4.26 eV per atom
E_form (uncorrected): -1.613 eV per atom

a b c (Å): 6.4582 6.4582 6.2606
angles (deg): 90.00 90.00 120.00
Element x y z (fractional)
Sr 0.0000 0.0000 0.0000
Li 0.3333 0.6667 0.5000
Mn 0.6667 0.3333 0.5000
Cl 0.3749 0.0177 0.7210
Cl 0.3749 0.3572 0.2790
Cl 0.6428 0.0177 0.2790
Cl 0.6428 0.6251 0.7210
Cl 0.9823 0.3572 0.7210
Cl 0.9823 0.6251 0.2790


# Ta2TiW

Ta2TiW after structural relaxation (GGA-PBE, Alexandria via LeMat-Bulk).

Summary:
Calculated density: 13.26 g cm⁻³
Magnetic moment: 0.0 μB/cell
E: -10.44 eV per atom
Energy of formation: 0.701 eV per atom

a b c (Å): 7.3197 7.3197 5.5501
angles (deg): 90.00 90.00 90.00
Element x y z (fractional)
Ta 0.2398 0.7500 0.1250
Ta 0.2500 0.2398 0.8750
Ta 0.2500 0.2602 0.3750
Ta 0.2602 0.7500 0.6250
Ta 0.7398 0.2500 0.6250
Ta 0.7500 0.7398 0.3750
Ta 0.7500 0.7602 0.8750
Ta 0.7602 0.2500 0.1250
Ti 0.0000 0.0000 0.5000
Ti 0.0000 0.5000 0.7500
Ti 0.5000 0.0000 0.2500
Ti 0.5000 0.5000 0.0000
W 0.0000 0.0000 0.0000
W 0.0000 0.5000 0.2500
W 0.5000 0.0000 0.7500
W 0.5000 0.5000 0.5000


# CsSnBi

CsSnBi after structural relaxation (GGA-PBE, Alexandria via LeMat-Bulk).

Summary:
Calculated density: 5.69 g cm⁻³
Magnetic moment: 0.0 μB/cell
E: -3.18 eV per atom
Energy of formation: -0.266 eV per atom

a b c (Å): 16.7922 4.5960 7.2514
angles (deg): 90.00 105.94 90.00
Element x y z (fractional)
Cs 0.0926 0.0000 0.2874
Cs 0.4074 0.5000 0.7126
Cs 0.5926 0.5000 0.2874
Cs 0.9074 0.0000 0.7126
Sn 0.2337 0.0000 0.7961
Sn 0.2663 0.5000 0.2039
Sn 0.7337 0.5000 0.7961
Sn 0.7663 0.0000 0.2039
Bi 0.1184 0.5000 0.8265
Bi 0.3816 0.0000 0.1735
Bi 0.6184 0.0000 0.8265
Bi 0.8816 0.5000 0.1735


# Ac2TmZn12Cu3

Ac2TmZn12Cu3 after structural relaxation (GGA-PBE, Alexandria via LeMat-Bulk).

Summary:
Calculated density: 6.31 g cm⁻³
Magnetic moment: 0.0 μB/cell
E: -2.06 eV per atom
Energy of formation: 0.177 eV per atom

a b c (Å): 8.6658 8.6658 8.6658
angles (deg): 56.32 56.32 56.32
Element x y z (fractional)
Ac 0.1018 0.1018 0.1018
Ac 0.8982 0.8982 0.8982
Tm 0.5000 0.5000 0.5000
Zn 0.0164 0.6540 0.6540
Zn 0.1676 0.1676 0.6444
Zn 0.1676 0.6444 0.1676
Zn 0.3460 0.3460 0.9836
Zn 0.3460 0.9836 0.3460
Zn 0.3556 0.8324 0.8324
Zn 0.6444 0.1676 0.1676
Zn 0.6540 0.0164 0.6540
Zn 0.6540 0.6540 0.0164
Zn 0.8324 0.3556 0.8324
Zn 0.8324 0.8324 0.3556
Zn 0.9836 0.3460 0.3460
Cu 0.0000 0.5000 0.5000
Cu 0.5000 0.0000 0.5000
Cu 0.5000 0.5000 0.0000


# CeZnSe

CeZnSe after structural relaxation (GGA-PBE, Alexandria via LeMat-Bulk).

Summary:
Calculated density: 6.54 g cm⁻³
Magnetic moment: 4.6 μB/cell
E: -4.42 eV per atom
E_form (uncorrected): -0.852 eV per atom

a b c (Å): 4.5332 10.9762 5.8079
angles (deg): 90.00 90.00 90.00
Element x y z (fractional)
Ce 0.0000 0.1467 0.2500
Ce 0.0000 0.8533 0.7500
Ce 0.5000 0.3533 0.7500
Ce 0.5000 0.6467 0.2500
Zn 0.0000 0.4684 0.2500
Zn 0.0000 0.5316 0.7500
Zn 0.5000 0.0316 0.7500
Zn 0.5000 0.9684 0.2500
Se 0.0000 0.1622 0.7500
Se 0.0000 0.8378 0.2500
Se 0.5000 0.3378 0.2500
Se 0.5000 0.6622 0.7500


# Ba2SiH2

Ba2SiH2 after structural relaxation (GGA-PBE, Alexandria via LeMat-Bulk).

Summary:
Calculated density: 3.97 g cm⁻³
Magnetic moment: 0.0 μB/cell
E: -3.44 eV per atom

a b c (Å): 4.0809 4.0809 15.3125
angles (deg): 90.00 90.00 90.00
Element x y z (fractional)
Ba 0.0000 0.0000 0.1431
Ba 0.0000 0.0000 0.8569
Ba 0.5000 0.5000 0.3569
Ba 0.5000 0.5000 0.6431
Si 0.0000 0.0000 0.5000
Si 0.5000 0.5000 0.0000
H 0.0000 0.5000 0.2500
H 0.0000 0.5000 0.7500
H 0.5000 0.0000 0.2500
H 0.5000 0.0000 0.7500


# GaAg6Sb

GaAg6Sb after structural relaxation (GGA-PBE, Alexandria via LeMat-Bulk).

Summary:
Calculated density: 9.33 g cm⁻³
Magnetic moment: 0.0 μB/cell
E: -3.01 eV per atom
E_form (uncorrected): 0.025 eV per atom

a b c (Å): 4.2183 4.2183 8.3882
angles (deg): 90.00 90.00 90.00
Element x y z (fractional)
Ga 0.0000 0.0000 0.0000
Ag 0.0000 0.5000 0.2385
Ag 0.0000 0.5000 0.7615
Ag 0.5000 0.0000 0.2385
Ag 0.5000 0.0000 0.7615
Ag 0.5000 0.5000 0.0000
Ag 0.5000 0.5000 0.5000
Sb 0.0000 0.0000 0.5000


# Li4Np3GaS8

Li4Np3GaS8 after structural relaxation (GGA-PBE, Alexandria via LeMat-Bulk).

Summary:
Calculated density: 5.47 g cm⁻³
Magnetic moment: 10.9 μB/cell
E: -6.37 eV per atom
E_form (uncorrected): -1.211 eV per atom

a b c (Å): 7.5554 7.5554 7.5554
angles (deg): 62.74 62.74 62.74
Element x y z (fractional)
Li 0.0000 0.0000 0.0000
Li 0.0000 0.5000 0.5000
Li 0.5000 0.0000 0.5000
Li 0.5000 0.5000 0.0000
Np 0.0000 0.0000 0.5000
Np 0.0000 0.5000 0.0000
Np 0.5000 0.0000 0.0000
Ga 0.5000 0.5000 0.5000
S 0.2493 0.7476 0.7476
S 0.2511 0.2511 0.2511
S 0.2524 0.2524 0.7507
S 0.2524 0.7507 0.2524
S 0.7476 0.2493 0.7476
S 0.7476 0.7476 0.2493
S 0.7489 0.7489 0.7489
S 0.7507 0.2524 0.2524


# Ni2WI

Ni2WI after structural relaxation (GGA-PBE, Alexandria via LeMat-Bulk).

Summary:
Calculated density: 11.28 g cm⁻³
Energy relative to the lowest polymorph listed for this composition: 125 meV/atom
Magnetic moment: 3.3 μB/cell
E: -5.38 eV per atom
E_form (uncorrected): 1.141 eV per atom

a b c (Å): 6.3164 6.3164 6.3164
angles (deg): 90.00 90.00 90.00
Element x y z (fractional)
Ni 0.2500 0.2500 0.2500
Ni 0.2500 0.2500 0.7500
Ni 0.2500 0.7500 0.2500
Ni 0.2500 0.7500 0.7500
Ni 0.7500 0.2500 0.2500
Ni 0.7500 0.2500 0.7500
Ni 0.7500 0.7500 0.2500
Ni 0.7500 0.7500 0.7500
W 0.0000 0.0000 0.0000
W 0.0000 0.5000 0.5000
W 0.5000 0.0000 0.5000
W 0.5000 0.5000 0.0000
I 0.0000 0.0000 0.5000
I 0.0000 0.5000 0.0000
I 0.5000 0.0000 0.0000
I 0.5000 0.5000 0.5000